Compound: Ti3TcNi
Source: Alexandria
Functional: GGA-PBE
Structure: relaxed

Cell: 4.4355 4.4355 4.4355 Å, 90.00 90.00 90.00°
Space group Pm-3m (No. 221)
Asymmetric unit:
Ti 0.0000 0.0000 0.5000 [3 per cell]
Tc 0.5000 0.5000 0.5000 [1 per cell]
Ni 0.0000 0.0000 0.0000 [1 per cell]

energy of formation = 2.73 eV/f.u.
energy above the most stable polymorph in this dataset = 940 meV/atom

Compound: TiTcNi14
Source: Alexandria
Functional: GGA-PBE
Structure: relaxed

Cell: 5.0474 5.0474 7.0922 Å, 90.00 90.00 90.00°
Space group P4/mmm (No. 123)
Asymmetric unit:
Ti 0.0000 0.0000 0.0000 [1 per cell]
Tc 0.5000 0.5000 0.0000 [1 per cell]
Ni 0.0000 0.0000 0.5000 [1 per cell]
Ni 0.0000 0.5000 0.0000 [2 per cell]
Ni 0.0000 0.5000 0.5000 [2 per cell]
Ni 0.2509 0.2509 0.2534 [8 per cell]
Ni 0.5000 0.5000 0.5000 [1 per cell]

energy of formation = -1.55 eV/f.u.

Compound: Ti5TcNi4
Source: Alexandria
Functional: GGA-PBE
Structure: relaxed

Cell: 3.0877 3.0877 14.6092 Å, 90.00 90.00 90.00°
Space group P4/mmm (No. 123)
Asymmetric unit:
Ti 0.0000 0.0000 0.0000 [1 per cell]
Ti 0.0000 0.0000 0.1964 [2 per cell]
Ti 0.0000 0.0000 0.3979 [2 per cell]
Tc 0.5000 0.5000 0.5000 [1 per cell]
Ni 0.5000 0.5000 0.1007 [2 per cell]
Ni 0.5000 0.5000 0.2947 [2 per cell]

energy of formation = -4.04 eV/f.u.

Compound: Ti4Tc2Ni
Source: Alexandria
Functional: GGA-PBE
Structure: relaxed

Cell: 6.0133 6.0133 6.2209 Å, 90.00 90.00 90.00°
Space group I4/mmm (No. 139)
Asymmetric unit:
Ti 0.2500 0.2500 0.2500 [8 per cell]
Tc 0.0000 0.5000 0.0000 [4 per cell]
Ni 0.0000 0.0000 0.0000 [2 per cell]

energy of formation = -1.68 eV/f.u.
energy above the most stable polymorph in this dataset = 0 meV/atom

Compound: ZrTiTcNi
Source: Alexandria
Functional: GGA-PBE
Structure: relaxed

Cell: 6.3327 6.3327 6.3327 Å, 90.00 90.00 90.00°
Space group F-43m (No. 216)
Asymmetric unit:
Zr 0.0000 0.0000 0.0000 [4 per cell]
Ti 0.0000 0.0000 0.5000 [4 per cell]
Tc 0.2500 0.2500 0.2500 [4 per cell]
Ni 0.2500 0.2500 0.7500 [4 per cell]

energy of formation = -1.53 eV/f.u.

Compound: Tl2TcNi
Source: Alexandria
Functional: GGA-PBE
Structure: relaxed

Cell: 6.5894 6.5894 6.5894 Å, 90.00 90.00 90.00°
Space group Fm-3m (No. 225)
Asymmetric unit:
Tl 0.2500 0.2500 0.2500 [8 per cell]
Tc 0.0000 0.0000 0.0000 [4 per cell]
Ni 0.0000 0.0000 0.5000 [4 per cell]

energy of formation = 2.67 eV/f.u.
energy above the most stable polymorph in this dataset = 191 meV/atom

Compound: TlTc2Ni
Source: Alexandria
Functional: GGA-PBE
Structure: relaxed

Cell: 6.2843 6.2843 6.2843 Å, 90.00 90.00 90.00°
Space group Fm-3m (No. 225)
Asymmetric unit:
Tl 0.0000 0.0000 0.0000 [4 per cell]
Tc 0.2500 0.2500 0.2500 [8 per cell]
Ni 0.0000 0.0000 0.5000 [4 per cell]

energy of formation = 2.76 eV/f.u.
energy above the most stable polymorph in this dataset = 312 meV/atom

Compound: Tl2TcNi
Source: Alexandria
Functional: GGA-PBE
Structure: relaxed

Cell: 4.6674 3.1817 5.4165 Å, 90.00 112.73 90.00°
Space group P2/m (No. 10)
Asymmetric unit:
Tl 0.0000 0.0000 0.0000 [1 per cell]
Tl 0.0000 0.5000 0.5000 [1 per cell]
Tc 0.5000 0.0000 0.5000 [1 per cell]
Ni 0.5000 0.5000 0.0000 [1 per cell]

energy of formation = 2.66 eV/f.u.
energy above the most stable polymorph in this dataset = 189 meV/atom

Compound: TlTc2Ni
Source: Alexandria
Functional: GGA-PBE
Structure: relaxed

Cell: 8.8150 3.0602 4.8744 Å, 90.00 103.46 90.00°
Space group Cm (No. 8)
Asymmetric unit:
Tl 0.0000 0.0000 0.0000 [2 per cell]
Tc 0.0012 0.5000 0.4977 [2 per cell]
Tc 0.2674 0.5000 0.3484 [2 per cell]
Ni 0.2447 0.0000 0.7660 [2 per cell]

energy of formation = 1.81 eV/f.u.
energy above the most stable polymorph in this dataset = 73 meV/atom

Compound: TlTc2Ni
Source: Alexandria
Functional: GGA-PBE
Structure: relaxed

Cell: 3.0450 3.0450 6.8752 Å, 90.00 90.00 90.00°
Space group P4/mmm (No. 123)
Asymmetric unit:
Tl 0.0000 0.0000 0.0000 [1 per cell]
Tc 0.5000 0.5000 0.3112 [2 per cell]
Ni 0.0000 0.0000 0.5000 [1 per cell]

energy of formation = 2.00 eV/f.u.
energy above the most stable polymorph in this dataset = 121 meV/atom

Compound: Tl2TcNi
Source: Alexandria
Functional: GGA-PBE
Structure: relaxed

Cell: 3.1422 3.1422 25.7573 Å, 90.00 90.00 120.00°
Space group R-3m (No. 166, hexagonal axes)
Asymmetric unit:
Tl 0.0000 0.0000 0.2456 [6 per cell]
Tc 0.0000 0.0000 0.0000 [3 per cell]
Ni 0.0000 0.0000 0.5000 [3 per cell]

energy of formation = 2.56 eV/f.u.
energy above the most stable polymorph in this dataset = 163 meV/atom

Compound: Tl2TcNi
Source: Alexandria
Functional: GGA-PBE
Structure: relaxed

Cell: 4.5526 4.5526 3.4360 Å, 90.00 90.00 90.00°
Space group P4/mmm (No. 123)
Asymmetric unit:
Tl 0.0000 0.5000 0.0000 [2 per cell]
Tc 0.0000 0.0000 0.5000 [1 per cell]
Ni 0.5000 0.5000 0.5000 [1 per cell]

energy of formation = 2.30 eV/f.u.
energy above the most stable polymorph in this dataset = 98 meV/atom